This record from the Alexandria database describes a relaxed structure of TeMoHN2. The functional is PBE-GGA.

Offset from the most stable computed form ... 1067 meV per atom

CIF file:
```
data_TeMoHN2
_space_group_name_H-M_alt 'P 4/m m m'
_space_group_IT_number 123
_space_group_name_Hall '-P 4 2'
_cell_length_a 4.1163
_cell_length_b 4.1163
_cell_length_c 3.2602
_cell_angle_alpha 90.00
_cell_angle_beta 90.00
_cell_angle_gamma 90.00
loop_
_atom_site_label
_atom_site_type_symbol
_atom_site_fract_x
_atom_site_fract_y
_atom_site_fract_z
Te1 Te 0.0000 0.0000 0.0000
Mo1 Mo 0.5000 0.5000 0.0000
H1 H 0.0000 0.0000 0.5000
N1 N 0.0000 0.5000 0.5000
```

This record from the Alexandria database describes a relaxed structure of TeMoHN2. The functional is PBE-GGA.

Offset from the most stable computed form ... 0 meV per atom

CIF file:
```
data_TeMoHN2
_space_group_name_H-M_alt 'P 4/m m m'
_space_group_IT_number 123
_space_group_name_Hall '-P 4 2'
_cell_length_a 3.8423
_cell_length_b 3.8423
_cell_length_c 5.6450
_cell_angle_alpha 90.00
_cell_angle_beta 90.00
_cell_angle_gamma 90.00
loop_
_atom_site_label
_atom_site_type_symbol
_atom_site_fract_x
_atom_site_fract_y
_atom_site_fract_z
Te1 Te 0.0000 0.0000 0.0000
Mo1 Mo 0.0000 0.0000 0.5000
H1 H 0.5000 0.5000 0.0000
N1 N 0.0000 0.5000 0.5000
```

This record from the Alexandria database describes a relaxed structure of Zr2MoHN. The functional is PBE-GGA.

Raw total energy ... -0.27537 Ha/atom

CIF file:
```
data_Zr2MoHN
_space_group_name_H-M_alt 'P 4/m m m'
_space_group_IT_number 123
_space_group_name_Hall '-P 4 2'
_cell_length_a 5.0561
_cell_length_b 5.0561
_cell_length_c 2.7293
_cell_angle_alpha 90.00
_cell_angle_beta 90.00
_cell_angle_gamma 90.00
loop_
_atom_site_label
_atom_site_type_symbol
_atom_site_fract_x
_atom_site_fract_y
_atom_site_fract_z
Zr1 Zr 0.0000 0.5000 0.0000
Mo1 Mo 0.0000 0.0000 0.5000
H1 H 0.5000 0.5000 0.0000
N1 N 0.5000 0.5000 0.5000
```

This record from the Alexandria database describes a relaxed structure of NaMo3H. The functional is PBE-GGA.

Offset from the most stable computed form ... 0 meV per atom

CIF file:
```
data_NaMo3H
_space_group_name_H-M_alt 'P m -3 m'
_space_group_IT_number 221
_space_group_name_Hall '-P 4 2 3'
_cell_length_a 4.0924
_cell_length_b 4.0924
_cell_length_c 4.0924
_cell_angle_alpha 90.00
_cell_angle_beta 90.00
_cell_angle_gamma 90.00
loop_
_atom_site_label
_atom_site_type_symbol
_atom_site_fract_x
_atom_site_fract_y
_atom_site_fract_z
Na1 Na 0.0000 0.0000 0.0000
Mo1 Mo 0.0000 0.5000 0.5000
H1 H 0.5000 0.5000 0.5000
```

This record from the Alexandria database describes a relaxed structure of Na5Mo2H12. The functional is PBE-GGA.

Raw total energy ... -0.12722 Ha/atom

CIF file:
```
data_Na5Mo2H12
_space_group_name_H-M_alt 'C 1 2/m 1'
_space_group_IT_number 12
_cell_length_a 12.1159
_cell_length_b 5.3336
_cell_length_c 7.5918
_cell_angle_alpha 90.00
_cell_angle_beta 105.92
_cell_angle_gamma 90.00
loop_
_space_group_symop_operation_xyz
'x,y,z'
'-x,-y,-z'
'-x,y,-z'
'x,-y,z'
'x+1/2,y+1/2,z'
'-x+1/2,-y+1/2,-z'
'-x+1/2,y+1/2,-z'
'x+1/2,-y+1/2,z'
loop_
_atom_site_label
_atom_site_type_symbol
_atom_site_fract_x
_atom_site_fract_y
_atom_site_fract_z
Na1 Na 0.0000 0.0000 0.0000
Na2 Na 0.1907 0.5000 0.8614
Na3 Na 0.2048 0.5000 0.3301
Mo1 Mo 0.0000 0.2204 0.5000
H1 H 0.0038 0.5000 0.3294
H2 H 0.0074 0.0000 0.3181
H3 H 0.1511 0.2791 0.5717
H4 H 0.1547 0.2516 0.0768
```

This record from the Alexandria database describes a relaxed structure of Na3MoH8. The functional is PBE-GGA.

Raw total energy ... -0.13346 Ha/atom

CIF file:
```
data_Na3MoH8
_space_group_name_H-M_alt 'I -4 2 m'
_space_group_IT_number 121
_space_group_name_Hall 'I -4 2'
_cell_length_a 5.5596
_cell_length_b 5.5596
_cell_length_c 7.9688
_cell_angle_alpha 90.00
_cell_angle_beta 90.00
_cell_angle_gamma 90.00
loop_
_atom_site_label
_atom_site_type_symbol
_atom_site_fract_x
_atom_site_fract_y
_atom_site_fract_z
Na1 Na 0.0000 0.0000 0.0000
Na2 Na 0.0000 0.5000 0.2500
Mo1 Mo 0.0000 0.0000 0.5000
H1 H 0.1219 0.1219 0.6834
H2 H 0.2205 0.2205 0.4407
```